DFT (GGA-PBE) results for a relaxed Rb5TlO crystal.

M_tot in μB/cell: 2.6
Electronic total energy in eV per atom: -2.127
Raw formation energy in meV/atom: -389
Space-group type: C2/c, No. 15

Cell: 8.915 8.915 11.714 Å, 109.12 109.12 57.36°
Fractional positions:
Rb (0.003, 0.997, 0.750)
Rb (0.100, 0.639, 0.433)
Rb (0.110, 0.636, 0.938)
Rb (0.361, 0.900, 0.067)
Rb (0.364, 0.890, 0.562)
Rb (0.636, 0.110, 0.438)
Rb (0.639, 0.100, 0.933)
Rb (0.890, 0.364, 0.062)
Rb (0.900, 0.361, 0.567)
Rb (0.997, 0.003, 0.250)
Tl (0.499, 0.501, 0.750)
Tl (0.501, 0.499, 0.250)
O (0.000, 0.000, 0.000)
O (0.000, 0.000, 0.500)



DFT (GGA-PBE) results for a relaxed RbTl6O8 crystal.

Relative energy among the computed polymorphs in meV/atom: 0
M_tot in μB/cell: 0.0
Electronic total energy in eV per atom: -4.329
Raw formation energy in meV/atom: -673
Space-group type: P-3, No. 147

Cell: 9.776 9.776 3.733 Å, 90.00 90.00 120.00°
Fractional positions:
Rb (0.000, 0.000, 0.000)
Tl (0.161, 0.414, 0.256)
Tl (0.253, 0.839, 0.256)
Tl (0.414, 0.253, 0.744)
Tl (0.586, 0.747, 0.256)
Tl (0.747, 0.161, 0.744)
Tl (0.839, 0.586, 0.744)
O (0.019, 0.306, 0.759)
O (0.287, 0.981, 0.759)
O (0.306, 0.287, 0.241)
O (0.333, 0.667, 0.364)
O (0.667, 0.333, 0.636)
O (0.694, 0.713, 0.759)
O (0.713, 0.019, 0.241)
O (0.981, 0.694, 0.241)



DFT (GGA-PBE) results for a relaxed Rb3TlO3 crystal.

Relative energy among the computed polymorphs in meV/atom: 93
M_tot in μB/cell: 0.0
Electronic total energy in eV per atom: -3.862
Raw formation energy in meV/atom: -985
Space-group type: Cmcm, No. 63

Cell: 8.807 8.807 5.920 Å, 90.00 90.00 119.91°
Fractional positions:
Rb (0.170, 0.830, 0.750)
Rb (0.171, 0.341, 0.750)
Rb (0.341, 0.171, 0.250)
Rb (0.659, 0.829, 0.750)
Rb (0.829, 0.659, 0.250)
Rb (0.830, 0.170, 0.250)
Tl (0.333, 0.667, 0.250)
Tl (0.667, 0.333, 0.750)
O (0.194, 0.806, 0.250)
O (0.195, 0.389, 0.250)
O (0.389, 0.195, 0.750)
O (0.611, 0.805, 0.250)
O (0.805, 0.611, 0.750)
O (0.806, 0.194, 0.750)



DFT (GGA-PBE) results for a relaxed Rb8TlO2 crystal.

M_tot in μB/cell: 0.6
Electronic total energy in eV per atom: -2.274
Raw formation energy in meV/atom: -454
Space-group type: P-3, No. 147

Cell: 11.020 11.020 5.794 Å, 90.00 90.00 120.00°
Fractional positions:
Rb (0.194, 0.390, 0.278)
Rb (0.196, 0.806, 0.278)
Rb (0.333, 0.667, 0.780)
Rb (0.390, 0.196, 0.722)
Rb (0.610, 0.804, 0.278)
Rb (0.667, 0.333, 0.220)
Rb (0.804, 0.194, 0.722)
Rb (0.806, 0.610, 0.722)
Tl (0.000, 0.000, 0.000)
O (0.333, 0.667, 0.280)
O (0.667, 0.333, 0.720)



Q: Which of these has the highest electronic total energy?
A: Rb5TlO